[1]
# YTcSb

A relaxed structure of YTcSb (PBE, OQMD).

Unit cell a=4.649 b=4.649 c=4.649 alpha=60.00 beta=60.00 gamma=60.00
Positions (direct):
Y  0.750  0.750  0.750
Sb  0.250  0.250  0.250
Tc  0.000  0.000  0.000

Values from the calculation:
- E_tot (eV/cell) = -21.31
- crystal system = cubic

***

[2]
# YTcSb2

A relaxed structure of YTcSb2 (PBE, OQMD).

Unit cell a=5.002 b=5.002 c=5.002 alpha=60.00 beta=60.00 gamma=60.00
Positions (direct):
Tc  0.250  0.250  0.250
Y  0.500  0.500  0.500
Sb  0.750  0.750  0.750
Sb  0.000  0.000  0.000

Values from the calculation:
- E_tot (eV/cell) = -24.79
- crystal system = cubic